No. 1
# GGA-PBE Pr3NdPu2Se6, relaxed
# * formation energy without anion corrections: -21.1 eV/f.u.
# * N(E_F): 40.92 states/eV per cell
# * total magnetization: 0.958 μB per atom
data_Pr3NdPu2Se6
_space_group_name_H-M_alt 'C 1 2/m 1'
_space_group_IT_number 12
_cell_length_a 7.290
_cell_length_b 12.635
_cell_length_c 7.338
_cell_angle_alpha 90.00
_cell_angle_beta 109.33
_cell_angle_gamma 90.00
loop_
_space_group_symop_operation_xyz
'x,y,z'
'-x,-y,-z'
'-x,y,-z'
'x,-y,z'
'x+1/2,y+1/2,z'
'-x+1/2,-y+1/2,-z'
'-x+1/2,y+1/2,-z'
'x+1/2,-y+1/2,z'
loop_
_atom_site_label
_atom_site_fract_x
_atom_site_fract_y
_atom_site_fract_z
_atom_site_occupancy
Pr1 0.000 0.000 0.000 1
Pr2 0.000 0.335 0.000 1
Nd1 0.000 0.500 0.500 1
Pu1 0.000 0.167 0.500 1
Se1 0.242 0.000 0.741 1
Se2 0.250 0.169 0.258 1

No. 2
# GGA-PBE Ce2TlCo, relaxed
# * formation enthalpy at 0 K: -0.7 eV/f.u.
# * N(E_F): 7.15 states/eV per cell
# * ΔE to the lowest computed polymorph: 0.000 eV/atom
# * total magnetization: 0.140 μB per atom
data_Ce2TlCo
_space_group_name_H-M_alt 'P 4/m m m'
_space_group_IT_number 123
_space_group_name_Hall '-P 4 2'
_cell_length_a 3.491
_cell_length_b 3.491
_cell_length_c 7.692
_cell_angle_alpha 90.00
_cell_angle_beta 90.00
_cell_angle_gamma 90.00
loop_
_atom_site_label
_atom_site_fract_x
_atom_site_fract_y
_atom_site_fract_z
_atom_site_occupancy
Ce1 0.000 0.000 0.188 1
Tl1 0.500 0.500 0.500 1
Co1 0.500 0.500 0.000 1

No. 3
# GGA-PBE TlI, relaxed
# * formation energy without anion corrections: -1.2 eV/f.u.
# * N(E_F): 0.00 states/eV per cell
# * ΔE to the lowest computed polymorph: 0.087 eV/atom
# * total magnetization: 0.000 μB per atom
data_TlI
_space_group_name_H-M_alt 'I 4/m'
_space_group_IT_number 87
_space_group_name_Hall '-I 4'
_cell_length_a 14.919
_cell_length_b 14.919
_cell_length_c 5.190
_cell_angle_alpha 90.00
_cell_angle_beta 90.00
_cell_angle_gamma 90.00
loop_
_atom_site_label
_atom_site_fract_x
_atom_site_fract_y
_atom_site_fract_z
_atom_site_occupancy
Tl1 0.123 0.276 0.000 1
I1 0.114 0.712 0.000 1